# Ce3Be2Rh7

Ce3Be2Rh7 after structural relaxation (PBE-GGA, the Alexandria database).

Results
For the volume, the calculation gives 16.4 Å³/atom. As for the symmetry: Cmmm (65). The density of states at the Fermi level comes out at 7.27 states/eV/f.u. The value obtained for the total energy is -7.073 eV per atom. Its theoretical density is 9752 kg/m3.

Cell and atoms, written as POSCAR:
```
Ce3Be2Rh7
1.0
-2.759 -0.292 -3.245
-3.198 -0.572 2.771
-0.203 10.844 2.006
Ce Be Rh
3 2 7
Direct
0.500 0.500 0.000 Ce
0.314 0.500 0.628 Ce
0.686 0.500 0.372 Ce
0.105 0.000 0.211 Be
0.895 0.000 0.789 Be
0.597 0.000 0.193 Rh
0.206 0.000 0.412 Rh
0.000 0.000 0.000 Rh
0.403 0.000 0.807 Rh
0.905 0.500 0.809 Rh
0.095 0.500 0.191 Rh
0.794 0.000 0.588 Rh
```